NaLi2HgSe after structural relaxation, computed with PBE.

a b c (Å): 4.8690 4.8690 5.6198
angles (deg): 90.00 90.00 90.00
Closest atoms and distances in Å follow each position.
Fractional positions:
Li  0.5000  0.0000  0.0000  2 Se 2.43
Li  0.0000  0.5000  0.0000  2 Se 2.43
Se  0.0000  0.0000  0.0000  4 Li 2.43
Hg  0.5000  0.5000  0.5000  4 Na 3.44, 8 Li 3.72
Na  0.0000  0.0000  0.5000  2 Se 2.81

Output
Formation energy without anion corrections = -0.616 eV/atom
Magnetization = 0.00 μB per formula unit
Crystal system = tetragonal
Final energy = -2.4029 eV/atom
N(E_F) = 2.8 states/eV per cell


Al2Fe2Si after structural relaxation, computed with PBE.

a b c (Å): 5.8030 5.8030 3.8047
angles (deg): 90.00 90.00 90.00
Closest atoms and distances in Å follow each position.
Fractional positions:
Al  0.3386  0.1614  0.5000  6 Fe 2.47-2.61, 1 Al 2.65
Al  0.8386  0.3386  0.5000  6 Fe 2.47-2.61, 1 Al 2.65
Al  0.6614  0.8386  0.5000  6 Fe 2.47-2.61, 1 Al 2.65
Al  0.1614  0.6614  0.5000  6 Fe 2.47-2.61, 1 Al 2.65
Fe  0.1468  0.3532  0.0000  2 Si 2.22, 1 Fe 2.41, 2 Al 2.47
Fe  0.8532  0.6468  0.0000  2 Si 2.22, 1 Fe 2.41, 2 Al 2.47
Fe  0.6468  0.1468  0.0000  2 Si 2.22, 1 Fe 2.41, 2 Al 2.47
Fe  0.3532  0.8532  0.0000  2 Si 2.22, 1 Fe 2.41, 2 Al 2.47
Si  0.0000  0.0000  0.0000  4 Fe 2.22
Si  0.5000  0.5000  0.0000  4 Fe 2.22

Output
Formation energy without anion corrections = -0.320 eV/atom
Magnetization = 0.00 μB per formula unit
Crystal system = tetragonal
Final energy = -6.2865 eV/atom
N(E_F) = 7.2 states/eV per cell


HfThU4 after structural relaxation, computed with PBE.

a b c (Å): 5.7576 5.7576 5.7576
angles (deg): 60.00 60.00 60.00
Closest atoms and distances in Å follow each position.
Fractional positions:
U  0.6258  0.6258  0.6258  6 U 2.86-2.90
U  0.6258  0.1227  0.6258  6 U 2.86-2.90
U  0.6258  0.6258  0.1227  6 U 2.86-2.90
U  0.1227  0.6258  0.6258  6 U 2.86-2.90
Hf  0.0000  0.0000  0.0000  12 U 3.37, 4 Th 3.53
Th  0.2500  0.2500  0.2500  12 U 3.38, 4 Hf 3.53

Output
Calculated formation energy = 1.27 eV per formula unit
Magnetization = 0.00 μB per formula unit
Crystal system = cubic
Final energy = -10.2094 eV/atom
N(E_F) = 15.8 states/eV per cell